No. 1
Here is a geometry-optimized Ce2GdRe structure from the Alexandria database. Energies are from GGA-PBE.

a = 3.421 Å, b = 3.421 Å, c = 8.899 Å
α = 90.00°, β = 90.00°, γ = 90.00°
Atoms (fractional coordinates):
Ce  0.000  0.000  0.197
Ce  0.000  0.000  0.803
Gd  0.500  0.500  0.500
Re  0.500  0.500  0.000

Formation energy = 3.3 kcal/mol of atoms
M_tot = 8.9 μB per formula unit
DOS(E_F) = 8.682 states/eV/cell
Raw total energy = -9.458 eV per atom



No. 2
Here is a geometry-optimized CeGdRe4 structure from the Alexandria database. Energies are from GGA-PBE.

a = 5.463 Å, b = 5.463 Å, c = 5.463 Å
α = 60.00°, β = 60.00°, γ = 60.00°
Atoms (fractional coordinates):
Ce  0.000  0.000  0.000
Gd  0.250  0.250  0.250
Re  0.125  0.625  0.625
Re  0.625  0.125  0.625
Re  0.625  0.625  0.125
Re  0.625  0.625  0.625

Formation energy = -1.0 kcal/mol of atoms
M_tot = 5.8 μB per formula unit
DOS(E_F) = 12.095 states/eV/cell
Raw total energy = -11.679 eV per atom